Compound: Ta6TcRu
Source: Alexandria
Functional: PBE
Structure: relaxed

a = 7.331 Å, b = 7.331 Å, c = 7.331 Å
α = 143.79°, β = 143.79°, γ = 52.15°
Fractional coordinates of all 8 atoms:
Ta  0.121  0.621  0.500
Ta  0.250  0.250  0.000
Ta  0.379  0.879  0.500
Ta  0.621  0.121  0.500
Ta  0.750  0.750  0.000
Ta  0.879  0.379  0.500
Tc  0.000  0.000  0.000
Ru  0.500  0.500  0.000

Output
Space-group type: I4/mmm
Uncorrected energy (eV per atom): -11.63

Compound: Ta6Tc5Ru
Source: Alexandria
Functional: PBE
Structure: relaxed

a = 7.793 Å, b = 7.793 Å, c = 7.793 Å
α = 146.35°, β = 131.76°, γ = 60.10°
Fractional coordinates of all 12 atoms:
Ta  0.082  0.332  0.749
Ta  0.248  0.000  0.248
Ta  0.417  0.668  0.749
Ta  0.583  0.332  0.251
Ta  0.752  0.000  0.752
Ta  0.918  0.668  0.251
Tc  0.000  0.500  0.500
Tc  0.167  0.167  0.000
Tc  0.334  0.834  0.500
Tc  0.666  0.166  0.500
Tc  0.833  0.833  0.000
Ru  0.500  0.500  0.000

Output
Space-group type: Immm
Uncorrected energy (eV per atom): -11.50

Compound: Ta4TcRu
Source: Alexandria
Functional: PBE
Structure: relaxed

a = 5.321 Å, b = 5.321 Å, c = 5.321 Å
α = 60.00°, β = 60.00°, γ = 60.00°
Fractional coordinates of all 6 atoms:
Ta  0.125  0.125  0.125
Ta  0.125  0.125  0.625
Ta  0.125  0.625  0.125
Ta  0.625  0.125  0.125
Tc  0.750  0.750  0.750
Ru  0.500  0.500  0.500

Output
Offset from the most stable computed form (meV/atom): 822
Space-group type: F-43m

Compound: TaTcRu
Source: Alexandria
Functional: PBE
Structure: relaxed

a = 4.260 Å, b = 4.260 Å, c = 4.260 Å
α = 60.00°, β = 60.00°, γ = 60.00°
Fractional coordinates of all 3 atoms:
Ta  0.000  0.000  0.000
Tc  0.250  0.250  0.250
Ru  0.750  0.750  0.750

Output
Offset from the most stable computed form (meV/atom): 624
Space-group type: F-43m

Compound: TaTcRu
Source: Alexandria
Functional: PBE
Structure: relaxed

a = 6.301 Å, b = 6.301 Å, c = 6.301 Å
α = 154.31°, β = 154.31°, γ = 36.64°
Fractional coordinates of all 3 atoms:
Ta  0.000  0.000  0.000
Tc  0.319  0.319  0.000
Ru  0.675  0.675  0.000

Output
Offset from the most stable computed form (meV/atom): 0
Space-group type: I4mm

Compound: TaTcRu
Source: Alexandria
Functional: PBE
Structure: relaxed

a = 4.409 Å, b = 4.409 Å, c = 2.789 Å
α = 90.00°, β = 90.00°, γ = 120.00°
Fractional coordinates of all 3 atoms:
Ta  0.000  0.000  0.000
Tc  0.333  0.667  0.284
Ru  0.667  0.333  0.700

Output
Offset from the most stable computed form (meV/atom): 75
Space-group type: P3m1

Compound: Ta3Tc2Ru
Source: Alexandria
Functional: PBE
Structure: relaxed

a = 3.186 Å, b = 3.186 Å, c = 9.530 Å
α = 90.00°, β = 90.00°, γ = 90.00°
Fractional coordinates of all 6 atoms:
Ta  0.000  0.000  0.000
Ta  0.000  0.000  0.331
Ta  0.000  0.000  0.669
Tc  0.500  0.500  0.169
Tc  0.500  0.500  0.831
Ru  0.500  0.500  0.500

Output
Space-group type: P4/mmm
Uncorrected energy (eV per atom): -11.38

Compound: TaTcRu
Source: Alexandria
Functional: PBE
Structure: relaxed

a = 4.935 Å, b = 4.935 Å, c = 4.935 Å
α = 146.57°, β = 134.49°, γ = 57.63°
Fractional coordinates of all 3 atoms:
Ta  0.000  0.000  0.000
Tc  0.676  0.676  0.000
Ru  0.326  0.326  0.000

Output
Offset from the most stable computed form (meV/atom): 62
Space-group type: Imm2

Compound: Ta4TcRu
Source: Alexandria
Functional: PBE
Structure: relaxed

a = 3.198 Å, b = 3.198 Å, c = 9.860 Å
α = 90.00°, β = 90.00°, γ = 90.00°
Fractional coordinates of all 6 atoms:
Ta  0.000  0.000  0.161
Ta  0.000  0.000  0.839
Ta  0.500  0.500  0.338
Ta  0.500  0.500  0.662
Tc  0.500  0.500  0.000
Ru  0.000  0.000  0.500

Output
Offset from the most stable computed form (meV/atom): 0
Space-group type: P4/mmm

Compound: TaTc2Ru2
Source: Alexandria
Functional: PBE
Structure: relaxed

a = 7.469 Å, b = 7.469 Å, c = 2.769 Å
α = 90.00°, β = 90.00°, γ = 90.00°
Fractional coordinates of all 10 atoms:
Ta  0.000  0.000  0.000
Ta  0.500  0.500  0.000
Tc  0.172  0.328  0.500
Tc  0.328  0.828  0.500
Tc  0.672  0.172  0.500
Tc  0.828  0.672  0.500
Ru  0.124  0.624  0.000
Ru  0.376  0.124  0.000
Ru  0.624  0.876  0.000
Ru  0.876  0.376  0.000

Output
Offset from the most stable computed form (meV/atom): 0
Space-group type: P4/mbm

Compound: TmTaTcRu
Source: Alexandria
Functional: PBE
Structure: relaxed

a = 4.604 Å, b = 4.604 Å, c = 4.604 Å
α = 60.00°, β = 60.00°, γ = 60.00°
Fractional coordinates of all 4 atoms:
Tm  0.000  0.000  0.000
Ta  0.500  0.500  0.500
Tc  0.750  0.750  0.750
Ru  0.250  0.250  0.250

Output
Space-group type: F-43m
Uncorrected energy (eV per atom): -9.33

Compound: YTaTcRu
Source: Alexandria
Functional: PBE
Structure: relaxed

a = 4.639 Å, b = 4.639 Å, c = 4.639 Å
α = 60.00°, β = 60.00°, γ = 60.00°
Fractional coordinates of all 4 atoms:
Y  0.000  0.000  0.000
Ta  0.500  0.500  0.500
Tc  0.750  0.750  0.750
Ru  0.250  0.250  0.250

Output
Space-group type: F-43m
Uncorrected energy (eV per atom): -9.71

Compound: ZrTaTcRu
Source: Alexandria
Functional: PBE
Structure: relaxed

a = 3.224 Å, b = 3.224 Å, c = 6.488 Å
α = 90.00°, β = 90.00°, γ = 90.00°
Fractional coordinates of all 4 atoms:
Zr  0.000  0.000  0.000
Ta  0.000  0.000  0.495
Tc  0.500  0.500  0.261
Ru  0.500  0.500  0.739

Output
Space-group type: P4mm
Uncorrected energy (eV per atom): -10.53

Compound: Ta2TeRu
Source: Alexandria
Functional: PBE
Structure: relaxed

a = 8.831 Å, b = 8.831 Å, c = 8.831 Å
α = 20.97°, β = 20.97°, γ = 20.97°
Fractional coordinates of all 4 atoms:
Ta  0.000  0.000  0.000
Ta  0.246  0.246  0.246
Te  0.497  0.497  0.497
Ru  0.736  0.736  0.736

Output
Space-group type: R3m
ΔE_f (raw) (eV per formula unit): 0.637